No. 1
Entry from the Alexandria database: a relaxed structure of La6Pm2Sc (PBE).

Cell lengths 7.492, 7.492, 7.928 Å; angles 61.80, 61.80, 60.00 degrees
Positions (direct):
1 La 0.047 0.625 0.281
2 La 0.782 0.258 0.702
3 La 0.258 0.258 0.702
4 La 0.047 0.047 0.281
5 La 0.258 0.782 0.702
6 La 0.625 0.047 0.281
7 Pm 0.581 0.581 0.256
8 Pm 0.748 0.748 0.757
9 Sc 0.320 0.320 0.041

As for the space group: No. 160. The calculation puts the size of the total moment at 0.00 μB/atom. The energy of formation from the pure elements comes out at 0.295 eV per atom. The calculation puts the density of states at the Fermi level at 12.57 states/eV/f.u. The calculation puts the calculated volume at 323 Å³ per cell. The value obtained for the energy relative to the lowest polymorph listed for this composition is 136 meV per atom.

***

No. 2
Entry from the Alexandria database: a relaxed structure of KNpSi2O6 (PBE).

Cell lengths 7.328, 7.328, 5.402 Å; angles 97.79, 97.79, 88.24 degrees
Site moments in Bohr magnetons follow the coordinates.
Positions (direct):
1 O 0.459 0.297 0.837  -0.03
2 O 0.370 0.925 0.723  -0.02
3 O 0.925 0.370 0.223  -0.02
4 O 0.821 0.843 0.979  0.00
5 O 0.297 0.459 0.337  -0.03
6 O 0.843 0.821 0.479  0.00
7 O 0.075 0.630 0.777  -0.02
8 O 0.703 0.541 0.663  -0.03
9 O 0.157 0.179 0.521  0.00
10 O 0.541 0.703 0.163  -0.03
11 O 0.179 0.157 0.021  0.00
12 O 0.630 0.075 0.277  -0.02
13 Si 0.864 0.698 0.724  0.00
14 Si 0.302 0.136 0.776  0.00
15 Si 0.698 0.864 0.224  0.00
16 Si 0.136 0.302 0.276  0.00
17 K 0.831 0.169 0.750  0.00
18 K 0.169 0.831 0.250  0.00
19 Np 0.384 0.616 0.750  3.93
20 Np 0.616 0.384 0.250  3.93

As for the space group: No. 15. The calculation puts the size of the total moment at 0.40 μB/atom. The calculation puts the density of states at the Fermi level at 8.67 states/eV/f.u. The calculation puts the calculated volume at 285 Å³ per cell. The value obtained for the formation energy without anion corrections is -2.632 eV per atom.